## Zn2TeP (GGA-PBE)

Data for an optimized crystal structure of Zn2TeP.

* uncorrected formation energy: 23 kJ/mol of atoms
* energy relative to the lowest polymorph listed for this composition: 39.5 kJ per mole of atoms
* space group: Cmmm (65)

a = 3.7751 Å, b = 5.9460 Å, c = 7.4797 Å
α = 90.00°, β = 90.00°, γ = 90.00°
Closest atoms and distances in Å follow each position.
Fractional positions:
Zn 0.0000 0.0000 0.2084  2 P 2.45
Zn 0.0000 0.0000 0.7916  2 P 2.45
Zn 0.5000 0.5000 0.2084  2 P 2.45
Zn 0.5000 0.5000 0.7916  2 P 2.45
Te 0.0000 0.5000 0.5000  4 Zn 2.88
Te 0.5000 0.0000 0.5000  4 Zn 2.88
P 0.0000 0.5000 0.0000  4 Zn 2.45
P 0.5000 0.0000 0.0000  4 Zn 2.45

=====

## VGaNi14 (GGA-PBE)

Data for an optimized crystal structure of VGaNi14.

* calculated formation energy: -115 meV per atom
* space group: P4/mmm (123)

a = 5.0242 Å, b = 5.0242 Å, c = 7.0392 Å
α = 90.00°, β = 90.00°, γ = 90.00°
Closest atoms and distances in Å follow each position.
Fractional positions:
V 0.0000 0.0000 0.0000  12 Ni 2.50-2.51
Ga 0.5000 0.5000 0.0000  12 Ni 2.51-2.52
Ni 0.0000 0.0000 0.5000  12 Ni 2.48-2.51
Ni 0.0000 0.5000 0.0000  8 Ni 2.51, 2 Ga 2.51, 2 V 2.51
Ni 0.0000 0.5000 0.5000  12 Ni 2.49-2.51
Ni 0.2480 0.2480 0.2519  10 Ni 2.48-2.53, 1 V 2.50, 1 Ga 2.52
Ni 0.2480 0.2480 0.7481  10 Ni 2.48-2.53, 1 V 2.50, 1 Ga 2.52
Ni 0.2480 0.7520 0.2519  10 Ni 2.48-2.53, 1 V 2.50, 1 Ga 2.52
Ni 0.2480 0.7520 0.7481  10 Ni 2.48-2.53, 1 V 2.50, 1 Ga 2.52
Ni 0.5000 0.0000 0.0000  8 Ni 2.51, 2 Ga 2.51, 2 V 2.51
Ni 0.5000 0.0000 0.5000  12 Ni 2.49-2.51
Ni 0.5000 0.5000 0.5000  12 Ni 2.50-2.51
Ni 0.7520 0.2480 0.2519  10 Ni 2.48-2.53, 1 V 2.50, 1 Ga 2.52
Ni 0.7520 0.2480 0.7481  10 Ni 2.48-2.53, 1 V 2.50, 1 Ga 2.52
Ni 0.7520 0.7520 0.2519  10 Ni 2.48-2.53, 1 V 2.50, 1 Ga 2.52
Ni 0.7520 0.7520 0.7481  10 Ni 2.48-2.53, 1 V 2.50, 1 Ga 2.52

=====

## Ca4PbO5 (GGA-PBE)

Data for an optimized crystal structure of Ca4PbO5.

* uncorrected formation energy: -245 kJ/mol of atoms
* space group: I4 (79)

a = 6.0423 Å, b = 6.0423 Å, c = 6.0423 Å
α = 99.63°, β = 99.63°, γ = 131.72°
Closest atoms and distances in Å follow each position.
Fractional positions:
Ca 0.1029 0.3021 0.4050  6 O 2.34-2.49
Ca 0.3021 0.8971 0.1992  6 O 2.34-2.49
Ca 0.6979 0.1029 0.8008  6 O 2.34-2.49
Ca 0.8971 0.6979 0.5950  6 O 2.34-2.49
Pb 0.4999 0.4999 0.0000  6 O 2.46-2.60
O 0.0027 0.0027 0.0000  2 Pb 2.46-2.48, 4 Ca 2.49
O 0.1839 0.6087 0.7936  5 Ca 2.34-2.48, 1 Pb 2.60
O 0.3903 0.1839 0.5752  5 Ca 2.34-2.48, 1 Pb 2.60
O 0.6087 0.8151 0.4248  5 Ca 2.34-2.48, 1 Pb 2.60
O 0.8151 0.3903 0.2064  5 Ca 2.34-2.48, 1 Pb 2.60

=====

## Tb7Tl2C2 (GGA-PBE)

Data for an optimized crystal structure of Tb7Tl2C2.

* calculated formation energy: -117 meV per atom
* space group: Imm2 (44)

a = 9.0718 Å, b = 9.0718 Å, c = 9.0718 Å
α = 157.73°, β = 85.09°, γ = 99.22°
Closest atoms and distances in Å follow each position.
Fractional positions:
Tb 0.0000 0.0000 0.0000  2 C 2.78
Tb 0.0502 0.6875 0.3626  2 C 2.51
Tb 0.1084 0.4024 0.7060  2 C 2.49
Tb 0.3249 0.6875 0.6374  2 C 2.51
Tb 0.4596 0.6013 0.8584  2 C 2.78, 1 Tb 3.10
Tb 0.6964 0.4024 0.2940  2 C 2.49
Tb 0.7429 0.6013 0.1416  2 C 2.78, 1 Tb 3.10
Tl 0.3795 0.3795 0.0000  6 Tb 3.22-3.40, 2 Tl 3.50
Tl 0.7659 0.2659 0.5000  8 Tb 3.19-3.26, 2 Tl 3.50
C 0.2557 0.0532 0.2025  7 Tb 2.49-2.78
C 0.8506 0.0532 0.7975  7 Tb 2.49-2.78

=====

## PtW2Br (GGA-PBE)

Data for an optimized crystal structure of PtW2Br.

* uncorrected formation energy: 41 kJ/mol of atoms
* energy relative to the lowest polymorph listed for this composition: 1.9 kJ per mole of atoms
* space group: R3m (160)

a = 2.9297 Å, b = 2.9297 Å, c = 28.7747 Å
α = 90.00°, β = 90.00°, γ = 120.00°
Closest atoms and distances in Å follow each position.
Fractional positions:
Pt 0.0000 0.0000 0.0000  3 W 2.73, 6 Pt 2.93
Pt 0.3333 0.6667 0.6667  3 W 2.73, 6 Pt 2.93
Pt 0.6667 0.3333 0.3333  3 W 2.73, 6 Pt 2.93
W 0.0000 0.0000 0.4893  3 Br 2.62, 9 W 2.90-2.93
W 0.0000 0.0000 0.7410  3 Pt 2.73, 9 W 2.90-2.93
W 0.3333 0.6667 0.1560  3 Br 2.62, 9 W 2.90-2.93
W 0.3333 0.6667 0.4076  3 Pt 2.73, 9 W 2.90-2.93
W 0.6667 0.3333 0.0743  3 Pt 2.73, 9 W 2.90-2.93
W 0.6667 0.3333 0.8227  3 Br 2.62, 9 W 2.90-2.93
Br 0.0000 0.0000 0.2257  3 W 2.62, 6 Br 2.93
Br 0.3333 0.6667 0.8923  3 W 2.62, 6 Br 2.93
Br 0.6667 0.3333 0.5590  3 W 2.62, 6 Br 2.93

=====

## BaGd2H (GGA-PBE)

Data for an optimized crystal structure of BaGd2H.

* total DFT energy (no corrections): -100.27 eV/cell
* space group: R-3m (166)

a = 3.6830 Å, b = 3.6830 Å, c = 29.8566 Å
α = 90.00°, β = 90.00°, γ = 120.00°
Closest atoms and distances in Å follow each position.
Fractional positions:
Ba 0.0000 0.0000 0.0000  2 Gd 3.64, 6 Ba 3.68
Ba 0.3333 0.6667 0.6667  2 Gd 3.64, 6 Ba 3.68
Ba 0.6667 0.3333 0.3333  2 Gd 3.64, 6 Ba 3.68
Gd 0.0000 0.0000 0.1220  3 H 2.51
Gd 0.0000 0.0000 0.8780  3 H 2.51
Gd 0.3333 0.6667 0.5447  3 H 2.51
Gd 0.3333 0.6667 0.7887  3 H 2.51
Gd 0.6667 0.3333 0.2113  3 H 2.51
Gd 0.6667 0.3333 0.4553  3 H 2.51
H 0.0000 0.0000 0.5000  6 Gd 2.51
H 0.3333 0.6667 0.1667  6 Gd 2.51
H 0.6667 0.3333 0.8333  6 Gd 2.51

=====

## LiCe2Ga3Pd4 (GGA-PBE)

Data for an optimized crystal structure of LiCe2Ga3Pd4.

* calculated formation energy: -707 meV per atom
* space group: P-4m2 (115)

a = 4.0770 Å, b = 4.0770 Å, c = 11.4376 Å
α = 90.00°, β = 90.00°, γ = 90.00°
Closest atoms and distances in Å follow each position.
Fractional positions:
Li 0.0000 0.0000 0.0000  4 Pd 2.63, 4 Ga 2.88
Ce 0.0000 0.5000 0.7532  4 Pd 3.11, 4 Ga 3.20
Ce 0.5000 0.0000 0.2468  4 Pd 3.11, 4 Ga 3.20
Ga 0.0000 0.5000 0.3683  5 Pd 2.53-2.55
Ga 0.5000 0.0000 0.6317  5 Pd 2.53-2.55
Ga 0.5000 0.5000 0.0000  4 Pd 2.63, 4 Li 2.88
Pd 0.0000 0.0000 0.5000  4 Ga 2.53
Pd 0.0000 0.5000 0.1453  3 Ga 2.55-2.63, 2 Li 2.63
Pd 0.5000 0.0000 0.8547  3 Ga 2.55-2.63, 2 Li 2.63
Pd 0.5000 0.5000 0.5000  4 Ga 2.53

=====

## Tm3Si4Os2 (GGA-PBE)

Data for an optimized crystal structure of Tm3Si4Os2.

* uncorrected formation energy: -74 kJ/mol of atoms
* space group: C2/m (12)

a = 5.6434 Å, b = 5.6434 Å, c = 7.9138 Å
α = 107.59°, β = 107.59°, γ = 43.59°
Closest atoms and distances in Å follow each position.
Fractional positions:
Tm 0.0000 0.0000 0.0000  8 Si 3.04-3.16
Tm 0.3823 0.3823 0.3012  7 Si 2.84-3.04, 4 Os 3.00-3.10
Tm 0.6177 0.6177 0.6988  7 Si 2.84-3.04, 4 Os 3.00-3.10
Si 0.0956 0.0956 0.4123  3 Os 2.38-2.46
Si 0.2775 0.2775 0.9221  1 Os 2.38, 2 Si 2.59
Si 0.7225 0.7225 0.0779  1 Os 2.38, 2 Si 2.59
Si 0.9044 0.9044 0.5877  3 Os 2.38-2.46
Os 0.3194 0.3194 0.6444  4 Si 2.38-2.46
Os 0.6806 0.6806 0.3556  4 Si 2.38-2.46